[1]
Compound: Zr5NiSb3
Source: Alexandria
Functional: GGA-PBE
Structure: optimized geometry

Lattice parameters (Å, degrees): 8.636 8.636 5.827 90.00 90.00 120.00
Fractional positions:
Zr1 0.000 0.257 0.250
Zr2 0.000 0.743 0.750
Zr3 0.257 0.000 0.250
Zr4 0.257 0.257 0.750
Zr5 0.333 0.667 0.000
Zr6 0.333 0.667 0.500
Zr7 0.667 0.333 0.000
Zr8 0.667 0.333 0.500
Zr9 0.743 0.000 0.750
Zr10 0.743 0.743 0.250
Ni1 0.000 0.000 0.000
Ni2 0.000 0.000 0.500
Sb1 0.000 0.388 0.750
Sb2 0.000 0.612 0.250
Sb3 0.388 0.000 0.750
Sb4 0.388 0.388 0.250
Sb5 0.612 0.000 0.250
Sb6 0.612 0.612 0.750

## Properties
calculated volume: 20.909 Å³/atom
uncorrected formation energy: -0.7154 eV/atom
symmetry: P6_3/mcm, No. 193

[2]
Compound: Cs3BaSr2Br9
Source: Alexandria
Functional: GGA-PBE
Structure: optimized geometry

Lattice parameters (Å, degrees): 8.565 8.565 10.931 90.00 90.00 120.00
Fractional positions:
Cs1 0.000 0.000 0.000
Cs2 0.333 0.667 0.721
Cs3 0.667 0.333 0.279
Ba1 0.000 0.000 0.500
Sr1 0.333 0.667 0.164
Sr2 0.667 0.333 0.836
Br1 0.000 0.500 0.000
Br2 0.165 0.330 0.314
Br3 0.165 0.835 0.314
Br4 0.330 0.165 0.686
Br5 0.500 0.000 0.000
Br6 0.500 0.500 0.000
Br7 0.670 0.835 0.314
Br8 0.835 0.165 0.686
Br9 0.835 0.670 0.686

## Properties
calculated volume: 46.293 Å³/atom
uncorrected formation energy: -1.9938 eV/atom
symmetry: P-3m1, No. 164

| no. | total magnetic moment (μB per formula unit) |
| --- | --- |
| 1 | 0.000 |
| 2 | 0.000 |